# 1
Computed, not measured: an optimized crystal structure of KTl2AsS4 at the PBE level of DFT.

```
KTl2AsS4
1.0
8.540 0.043 0.228
0.019 8.541 0.225
-4.082 -4.093 5.835
K Tl As S
2 4 2 8
direct
0.001 0.501 0.001
0.001 0.501 0.501
0.472 0.972 0.971
0.472 0.972 0.472
0.009 0.035 0.522
0.535 0.509 0.022
0.477 0.402 0.440
0.902 0.977 0.939
0.299 0.765 0.032
0.696 0.247 0.472
0.265 0.799 0.532
0.747 0.196 0.972
0.753 0.810 0.004
0.753 0.810 0.559
0.310 0.253 0.504
0.310 0.253 0.059
```

Final energy: -3.79 eV/atom
E_form (uncorrected): -0.41 eV/atom
Crystal system: orthorhombic

# 2
Computed, not measured: an optimized crystal structure of Zn6Ga2Ag at the PBE level of DFT.

```
Zn6Ga2Ag
1.0
-4.183 0.024 2.109
2.298 -4.904 4.616
2.310 5.724 -0.553
Zn Ga Ag
6 2 1
direct
0.156 0.479 0.324
0.844 0.155 0.676
0.844 0.521 0.676
0.500 0.188 0.000
0.156 0.845 0.324
0.500 0.812 0.000
0.666 0.674 0.349
0.334 0.326 0.651
0.000 0.000 0.000
```

Final energy: -1.82 eV/atom
DFT formation energy: 0.020 eV/atom
E above lowest polymorph: 0 meV/atom
Crystal system: monoclinic

# 3
Computed, not measured: an optimized crystal structure of Ac4TbPr3S8 at the PBE level of DFT.

```
Ac4TbPr3S8
1.0
-5.596 -6.053 1.356
4.800 -3.060 6.153
-2.382 8.006 0.168
Ac Tb Pr S
4 1 3 8
direct
0.500 0.000 0.000
0.500 0.000 0.500
0.000 0.000 0.000
0.000 0.000 0.500
0.000 0.500 0.000
0.500 0.500 0.000
0.500 0.500 0.500
0.000 0.500 0.500
0.240 0.732 0.992
0.240 0.732 0.479
0.254 0.262 0.508
0.753 0.732 0.992
0.247 0.268 0.008
0.746 0.738 0.492
0.760 0.268 0.521
0.760 0.268 0.008
```

Final energy: -6.28 eV/atom
E_form (uncorrected): -2.00 eV/atom
Crystal system: trigonal

# 4
Computed, not measured: an optimized crystal structure of LaAsBr at the PBE level of DFT.

```
LaAsBr
1.0
5.078 0.000 0.000
-2.539 4.398 0.000
0.000 0.000 3.704
As Br La
1 1 1
direct
0.000 0.000 0.000
0.667 0.333 0.500
0.333 0.667 0.500
```

Final energy: -4.71 eV/atom
E above lowest polymorph: 318 meV/atom
E_form (uncorrected): -0.96 eV/atom
Crystal system: hexagonal

# 5
Computed, not measured: an optimized crystal structure of BaSiO3 at the PBE level of DFT.

```
BaSiO3
1.0
6.392 0.000 0.000
0.000 7.923 0.012
0.000 6.742 12.697
Ba Si O
8 8 24
direct
0.898 0.789 0.625
0.593 0.257 0.165
0.398 0.211 0.875
0.093 0.743 0.335
0.907 0.257 0.665
0.602 0.789 0.125
0.407 0.743 0.835
0.102 0.211 0.375
0.852 0.452 0.888
0.087 0.170 0.090
0.352 0.548 0.612
0.587 0.830 0.410
0.413 0.170 0.590
0.648 0.452 0.388
0.913 0.830 0.910
0.148 0.548 0.112
0.091 0.314 0.149
0.635 0.398 0.953
0.339 0.563 0.721
0.554 0.676 0.539
0.392 0.973 0.356
0.054 0.324 0.961
0.813 0.930 0.401
0.839 0.437 0.779
0.135 0.602 0.547
0.313 0.070 0.099
0.892 0.027 0.144
0.409 0.314 0.649
0.591 0.686 0.351
0.108 0.973 0.856
0.687 0.930 0.901
0.865 0.398 0.453
0.161 0.563 0.221
0.187 0.070 0.599
0.946 0.676 0.039
0.608 0.027 0.644
0.446 0.324 0.461
0.661 0.437 0.279
0.365 0.602 0.047
0.909 0.686 0.851
```

Final energy: -7.39 eV/atom
E_form (uncorrected): -2.95 eV/atom
Crystal system: monoclinic

# 6
Computed, not measured: an optimized crystal structure of InSi2Br at the PBE level of DFT.

```
InSi2Br
1.0
-2.441 4.999 1.607
-2.810 -2.741 4.257
2.818 2.375 7.326
Si Br In
4 2 2
direct
0.639 0.125 0.250
0.111 0.625 0.250
0.375 0.361 0.750
0.875 0.889 0.750
0.500 0.500 0.000
0.250 0.750 0.500
0.000 0.000 0.000
0.750 0.250 0.500
```

Final energy: -3.11 eV/atom
E above lowest polymorph: 690 meV/atom
E_form (uncorrected): 0.71 eV/atom
Crystal system: tetragonal

# 7
Computed, not measured: an optimized crystal structure of UVI6 at the PBE level of DFT.

```
UVI6
1.0
7.872 -0.972 -0.885
-3.312 7.208 -0.885
0.863 1.179 6.934
U V I
1 1 6
direct
0.000 0.000 0.000
0.000 0.000 0.500
0.293 0.001 0.273
0.001 0.293 0.273
0.999 0.707 0.727
0.707 0.999 0.727
0.294 0.294 0.735
0.706 0.706 0.265
```

Final energy: -4.42 eV/atom
E_form (uncorrected): -0.71 eV/atom
Crystal system: monoclinic

# 8
Computed, not measured: an optimized crystal structure of BaSr5 at the PBE level of DFT.

```
BaSr5
1.0
6.068 0.000 0.000
-3.034 6.790 0.224
0.000 -2.998 8.053
Ba Sr
1 5
direct
0.972 0.944 0.944
0.303 0.606 0.608
0.641 0.283 0.281
0.638 0.277 0.775
0.972 0.944 0.444
0.306 0.612 0.114
```

Final energy: -1.72 eV/atom
DFT formation energy: 0.001 eV/atom
E above lowest polymorph: 0 meV/atom
Crystal system: monoclinic

Question: The lowest final energy belongs to which entry?
Answer: BaSiO3

Question: Which value of final energy does entry 1 give?
Answer: -3.79 eV/atom